Record 1
The following is a PBE calculation of crystalline CdIn2Hg3 at its relaxed geometry, from the Alexandria database.

Calculated values
**Electronic total energy**: -14.3 eV for the cell shown
**Total magnetization**: 0.0 μB per formula unit
**E above lowest polymorph**: 0.014 eV per atom

Unit cell a=3.6907 b=8.3804 c=10.1465 alpha=83.97 beta=90.00 gamma=90.00
Last column: nearest neighbours and their distance in Å.
Sites, in units of the cell vectors:
Cd  0.7500  0.1295  0.2462  4 Hg 3.10, 5 In 3.33-3.41
Hg  0.7500  0.6314  0.9210  2 Cd 3.10, 5 Hg 3.18-3.39, 3 In 3.32-3.47
Hg  0.2500  0.3874  0.7469  5 In 3.15-3.33, 5 Hg 3.36-3.45
Hg  0.7500  0.1145  0.5908  2 Cd 3.10, 3 In 3.15-3.26, 4 Hg 3.35-3.45
In  0.2500  0.3630  0.4212  6 Hg 3.15-3.47, 2 Cd 3.33, 2 In 3.47
Cd  0.2500  0.8705  0.7538  4 Hg 3.10, 5 In 3.33-3.41
Hg  0.2500  0.3686  0.0790  2 Cd 3.10, 5 Hg 3.18-3.39, 3 In 3.32-3.47
In  0.2500  0.8682  0.0898  5 Hg 3.16-3.32, 2 In 3.28, 3 Cd 3.38-3.41
Hg  0.2500  0.8855  0.4092  2 Cd 3.10, 3 In 3.15-3.26, 4 Hg 3.35-3.45
In  0.7500  0.1318  0.9102  5 Hg 3.16-3.32, 2 In 3.28, 3 Cd 3.38-3.41
Hg  0.7500  0.6126  0.2531  5 In 3.15-3.33, 5 Hg 3.36-3.45
In  0.7500  0.6370  0.5788  6 Hg 3.15-3.47, 2 Cd 3.33, 2 In 3.47


Record 2
The following is a PBE calculation of crystalline CdIn5Hg at its relaxed geometry, from the Alexandria database.

Calculated values
**Electronic total energy**: -14.6 eV for the cell shown
**Total magnetization**: 0.0 μB per formula unit
**E above lowest polymorph**: 0.000 eV per atom

Unit cell a=4.5829 b=4.5829 c=9.1815 alpha=90.00 beta=90.00 gamma=90.00
Last column: nearest neighbours and their distance in Å.
Sites, in units of the cell vectors:
Hg  0.0000  0.0000  0.0000  12 In 3.24-3.39
In  0.0000  0.5000  0.2717  2 Cd 3.11, 6 In 3.24-3.39, 2 Hg 3.39
In  0.5000  0.5000  0.0000  4 Hg 3.24, 8 In 3.39
Cd  0.0000  0.0000  0.5000  8 In 3.11
In  0.5000  0.0000  0.7283  2 Cd 3.11, 6 In 3.24-3.39, 2 Hg 3.39
In  0.5000  0.0000  0.2717  2 Cd 3.11, 6 In 3.24-3.39, 2 Hg 3.39
In  0.0000  0.5000  0.7283  2 Cd 3.11, 6 In 3.24-3.39, 2 Hg 3.39


Record 3
The following is a PBE calculation of crystalline CdIn5Hg3 at its relaxed geometry, from the Alexandria database.

Calculated values
**Electronic total energy**: -30.5 eV for the cell shown
**Total magnetization**: 0.0 μB per formula unit
**E above lowest polymorph**: 0.000 eV per atom

Unit cell a=6.1813 b=9.4608 c=9.4608 alpha=120.00 beta=90.00 gamma=90.00
Last column: nearest neighbours and their distance in Å.
Sites, in units of the cell vectors:
Hg  0.2500  0.6290  0.0000  9 In 3.16-3.37
In  0.2500  0.7054  0.7054  5 Hg 3.16-3.21, 2 Cd 3.19
Hg  0.2500  0.3710  0.3710  9 In 3.16-3.37
In  0.0000  0.3333  0.6667  2 In 3.09, 6 Hg 3.37
Hg  0.2500  0.0000  0.6290  9 In 3.16-3.37
In  0.2500  0.0000  0.2946  5 Hg 3.16-3.21, 2 Cd 3.19
In  0.7500  0.2946  0.2946  5 Hg 3.16-3.21, 2 Cd 3.19
Hg  0.7500  0.6290  0.6290  9 In 3.16-3.37
Hg  0.7500  0.0000  0.3710  9 In 3.16-3.37
Hg  0.7500  0.3710  0.0000  9 In 3.16-3.37
In  0.2500  0.2946  0.0000  5 Hg 3.16-3.21, 2 Cd 3.19
In  0.5000  0.6667  0.3333  2 In 3.09, 6 Hg 3.37
In  0.5000  0.3333  0.6667  2 In 3.09, 6 Hg 3.37
Cd  0.0000  0.0000  0.0000  2 Cd 3.09, 6 In 3.19
Cd  0.5000  0.0000  0.0000  2 Cd 3.09, 6 In 3.19
In  0.0000  0.6667  0.3333  2 In 3.09, 6 Hg 3.37
In  0.7500  0.7054  0.0000  5 Hg 3.16-3.21, 2 Cd 3.19
In  0.7500  0.0000  0.7054  5 Hg 3.16-3.21, 2 Cd 3.19